1.
Crystalline PmAl2GeRu2 at its relaxed geometry. Source: Alexandria, functional PBE.

POSCAR file:
```
PmAl2GeRu2
1.0
4.539 0.000 0.000
0.000 4.539 0.000
0.000 0.000 5.740
Pm Al Ge Ru
1 2 1 2
Direct
0.000 0.000 0.500
0.500 0.500 0.742
0.500 0.500 0.258
0.000 0.000 0.000
0.500 0.000 0.000
0.000 0.500 0.000
```

Values from the calculation:
Spin magnetization = 0.00 Bohr magnetons per cell
DFT formation energy = -1.65 eV/f.u.

=====

2.
Crystalline PmSmAl2Ge at its relaxed geometry. Source: Alexandria, functional PBE.

POSCAR file:
```
PmSmAl2Ge
1.0
4.365 0.000 0.000
0.000 4.466 0.000
-2.182 -2.233 6.292
Pm Sm Al Ge
1 1 2 1
Direct
0.445 0.445 0.890
0.200 0.700 0.399
0.674 0.174 0.349
0.045 0.045 0.090
0.849 0.849 0.697
```

Values from the calculation:
Spin magnetization = 0.00 Bohr magnetons per cell
DFT formation energy = -2.24 eV/f.u.

=====

3.
Crystalline Pm2Sm2AlGe4 at its relaxed geometry. Source: Alexandria, functional PBE.

POSCAR file:
```
Pm2Sm2AlGe4
1.0
-2.207 -1.527 6.124
6.454 -1.266 -1.202
0.160 6.507 -1.532
Pm Sm Al Ge
2 2 1 4
Direct
0.500 0.750 0.250
0.500 0.250 0.750
0.000 0.688 0.688
0.000 0.312 0.312
0.000 0.000 0.000
0.000 0.752 0.248
0.503 0.752 0.752
0.000 0.248 0.752
0.497 0.248 0.248
```

Values from the calculation:
Spin magnetization = 0.00 Bohr magnetons per cell
DFT formation energy = -2.84 eV/f.u.

=====

4.
Crystalline TbPmAl2Ge at its relaxed geometry. Source: Alexandria, functional PBE.

POSCAR file:
```
TbPmAl2Ge
1.0
-3.817 -0.920 1.854
2.093 -2.248 3.191
1.259 6.761 0.863
Tb Pm Al Ge
1 1 2 1
Direct
0.198 0.698 0.396
0.444 0.444 0.887
0.680 0.180 0.359
0.045 0.045 0.091
0.845 0.845 0.691
```

Values from the calculation:
Spin magnetization = 0.00 Bohr magnetons per cell
DFT formation energy = -2.39 eV/f.u.

=====

5.
Crystalline TbPmAlGe at its relaxed geometry. Source: Alexandria, functional PBE.

POSCAR file:
```
TbPmAlGe
1.0
-3.746 -1.563 -3.194
-0.293 -4.962 -1.405
-3.838 -2.965 1.776
Ge Tb Al Pm
1 1 1 1
Direct
0.250 0.250 0.250
0.000 0.000 0.000
0.750 0.750 0.750
0.500 0.500 0.500
```

Values from the calculation:
Spin magnetization = 0.00 Bohr magnetons per cell
DFT formation energy = -1.79 eV/f.u.

=====

6.
Crystalline TbPmAlGe at its relaxed geometry. Source: Alexandria, functional PBE.

POSCAR file:
```
TbPmAlGe
1.0
4.426 0.000 0.000
0.000 4.068 0.000
-2.213 0.000 5.559
Tb Pm Al Ge
1 1 1 1
Direct
0.139 0.000 0.278
0.857 0.500 0.713
0.428 0.000 0.856
0.576 0.500 0.153
```

Values from the calculation:
Spin magnetization = 0.00 Bohr magnetons per cell
DFT formation energy = -2.73 eV/f.u.

=====

7.
Crystalline PmAlTcGe2 at its relaxed geometry. Source: Alexandria, functional PBE.

POSCAR file:
```
PmAlTcGe2
1.0
-3.148 1.854 -1.524
-2.376 -2.052 2.411
3.269 4.332 3.659
Pm Al Tc Ge
1 1 1 2
Direct
0.000 0.000 0.000
0.750 0.250 0.500
0.250 0.750 0.500
0.609 0.609 0.218
0.391 0.391 0.782
```

Values from the calculation:
Spin magnetization = 0.62 Bohr magnetons per cell
DFT formation energy = -2.35 eV/f.u.

=====

8.
Crystalline PmThAlGe at its relaxed geometry. Source: Alexandria, functional PBE.

POSCAR file:
```
PmThAlGe
1.0
4.478 0.000 0.000
0.000 4.107 0.000
-2.239 0.000 5.643
Pm Th Al Ge
1 1 1 1
Direct
0.142 0.000 0.285
0.859 0.500 0.718
0.575 0.500 0.150
0.424 0.000 0.847
```

Values from the calculation:
Spin magnetization = 0.00 Bohr magnetons per cell
DFT formation energy = -2.41 eV/f.u.

=====

9.
Crystalline PmThAlGe at its relaxed geometry. Source: Alexandria, functional PBE.

POSCAR file:
```
PmThAlGe
1.0
-4.414 -1.515 2.366
-2.557 -4.237 -1.698
-0.054 -4.359 2.895
Ge Al Th Pm
1 1 1 1
Direct
0.000 0.000 0.000
0.500 0.500 0.500
0.750 0.750 0.750
0.250 0.250 0.250
```

Values from the calculation:
Spin magnetization = 0.00 Bohr magnetons per cell
DFT formation energy = -1.40 eV/f.u.

=====

10.
Crystalline PmAlZnGe at its relaxed geometry. Source: Alexandria, functional PBE.

POSCAR file:
```
PmAlZnGe
1.0
4.892 0.000 0.000
2.446 4.236 0.000
2.446 1.412 3.994
Ge Al Zn Pm
1 1 1 1
Direct
0.250 0.250 0.250
0.000 0.000 0.000
0.750 0.750 0.750
0.500 0.500 0.500
```

Values from the calculation:
Spin magnetization = 0.00 Bohr magnetons per cell
DFT formation energy = -0.83 eV/f.u.

=====

11.
Crystalline Pr2Al3Ge2 at its relaxed geometry. Source: Alexandria, functional PBE.

POSCAR file:
```
Pr2Al3Ge2
1.0
4.217 0.000 0.877
0.000 4.082 0.000
0.165 0.000 9.724
Pr Al Ge
2 3 2
Direct
0.140 0.500 0.721
0.860 0.500 0.279
0.285 0.000 0.431
0.000 0.000 0.000
0.715 0.000 0.569
0.416 0.000 0.167
0.584 0.000 0.833
```

Values from the calculation:
Spin magnetization = 0.00 Bohr magnetons per cell
DFT formation energy = -2.69 eV/f.u.

=====

12.
Crystalline Pr3Al2Ge3 at its relaxed geometry. Source: Alexandria, functional PBE.

POSCAR file:
```
Pr3Al2Ge3
1.0
-3.935 -0.494 -1.659
4.250 -1.699 -4.004
-0.541 -14.673 5.653
Pr Al Ge
6 4 6
Direct
0.857 0.715 0.406
0.143 0.285 0.906
0.857 0.715 0.094
0.143 0.285 0.594
0.559 0.117 0.250
0.441 0.883 0.750
0.857 0.714 0.877
0.143 0.286 0.377
0.857 0.714 0.623
0.143 0.286 0.123
0.583 0.166 0.447
0.417 0.834 0.947
0.583 0.166 0.053
0.417 0.834 0.553
0.287 0.573 0.250
0.713 0.427 0.750
```

Values from the calculation:
Spin magnetization = 0.00 Bohr magnetons per cell
DFT formation energy = -5.08 eV/f.u.